1.
Entry from Alexandria via LeMat-Bulk: crystalline ErMgZn at its relaxed geometry (PBE).

Unit cell a=4.9986 b=4.9986 c=6.0813 alpha=90.00 beta=90.00 gamma=120.00
Closest atoms and distances in Å follow each position.
Fractional coordinates of all 6 atoms:
Er1 0.3333 0.6667 0.2500  5 Zn 2.89-3.04
Er2 0.6667 0.3333 0.7500  5 Zn 2.89-3.04
Mg1 0.0000 0.0000 0.0000  2 Mg 3.04, 6 Er 3.26, 6 Zn 3.26
Mg2 0.0000 0.0000 0.5000  2 Mg 3.04, 6 Er 3.26, 6 Zn 3.26
Zn1 0.3333 0.6667 0.7500  5 Er 2.89-3.04
Zn2 0.6667 0.3333 0.2500  5 Er 2.89-3.04

Results
- spin magnetization (μB per formula unit) = 0.0
- calculated formation energy (kJ/mol of formula units) = -73


2.
Entry from Alexandria via LeMat-Bulk: crystalline PuInGaPb at its relaxed geometry (PBE).

Unit cell a=4.5056 b=4.6520 c=4.7012 alpha=90.00 beta=90.00 gamma=90.00
Closest atoms and distances in Å follow each position.
Fractional coordinates of all 4 atoms:
Pu1 0.0000 0.0000 0.0000  4 Ga 3.24, 4 Pb 3.26, 4 In 3.31
In1 0.0000 0.5000 0.5000  4 Pb 3.24, 4 Ga 3.26, 4 Pu 3.31
Ga1 0.5000 0.5000 0.0000  4 Pu 3.24, 4 In 3.26, 4 Pb 3.31
Pb1 0.5000 0.0000 0.5000  4 In 3.24, 4 Pu 3.26, 4 Ga 3.31

Results
- spin magnetization (μB per formula unit) = 5.7
- calculated formation energy (kJ/mol of formula units) = -81


3.
Entry from Alexandria via LeMat-Bulk: crystalline Ca2GaTc at its relaxed geometry (PBE).

Unit cell a=10.7159 b=10.7159 c=10.7159 alpha=157.37 beta=157.37 gamma=32.22
Closest atoms and distances in Å follow each position.
Fractional coordinates of all 8 atoms:
Ca1 0.1193 0.6250 0.9943  4 Ca 2.94-3.01, 2 Tc 2.96, 2 Ga 2.98
Ca2 0.3750 0.3693 0.4943  4 Ca 2.94-3.01, 2 Tc 2.96, 2 Ga 2.98
Ca3 0.6307 0.1250 0.0057  4 Ca 2.94-3.01, 2 Tc 2.96, 2 Ga 2.98
Ca4 0.8750 0.8807 0.5057  4 Ca 2.94-3.01, 2 Tc 2.96, 2 Ga 2.98
Ga1 0.2500 0.7500 0.5000  4 Tc 2.97, 4 Ca 2.98
Ga2 0.5000 0.5000 0.0000  4 Tc 2.97, 4 Ca 2.98
Tc1 0.0000 0.0000 0.0000  4 Ca 2.96, 4 Ga 2.97
Tc2 0.7500 0.2500 0.5000  4 Ca 2.96, 4 Ga 2.97

Results
- spin magnetization (μB per formula unit) = 1.3
- calculated formation energy (kJ/mol of formula units) = 259


4.
Entry from Alexandria via LeMat-Bulk: crystalline SnSb2Rh2 at its relaxed geometry (PBE).

Unit cell a=6.5508 b=6.5508 c=6.5508 alpha=140.82 beta=140.82 gamma=56.62
Closest atoms and distances in Å follow each position.
Fractional coordinates of all 5 atoms:
Sn1 0.0000 0.0000 0.0000  8 Rh 3.40, 8 Sb 3.63
Sb1 0.2500 0.7500 0.5000  4 Rh 2.66
Sb2 0.7500 0.2500 0.5000  4 Rh 2.66
Rh1 0.3808 0.3808 0.0000  4 Sb 2.66, 1 Rh 2.75
Rh2 0.6192 0.6192 0.0000  4 Sb 2.66, 1 Rh 2.75

Results
- spin magnetization (μB per formula unit) = 0.0
- energy relative to the elements, uncorrected (eV per atom) = 0.00
- ΔE to the lowest computed polymorph (meV/atom) = 168